DFT (GGA-PBE) results for Li3Tl7 after structural relaxation.

abc: 8.4466 8.4466 6.5418
angles: 101.23 101.23 33.85
Fractional positions:
Li: 0.0000 0.0000 0.0000
Li: 0.1825 0.1825 0.6724
Li: 0.8175 0.8175 0.3276
Tl: 0.0000 0.0000 0.5000
Tl: 0.2073 0.2073 0.1432
Tl: 0.3643 0.3643 0.6072
Tl: 0.4197 0.4197 0.1443
Tl: 0.5803 0.5803 0.8557
Tl: 0.6357 0.6357 0.3928
Tl: 0.7927 0.7927 0.8568

Values from the calculation:
Space-group type ... No. 12
Calculated formation energy ... -2.4 kcal/mol of atoms
Volume ... 254.5 Å³/cell